This record from Alexandria describes a relaxed structure of SrMg2. The functional is PBE.

Structure (POSCAR):
```
SrMg2
1.0
6.676 0.000 0.000
0.000 6.676 0.000
0.000 0.000 6.484
Sr Mg
2 4
direct
0.500 0.500 0.500
0.000 0.000 0.000
0.152 0.848 0.500
0.348 0.348 0.000
0.848 0.152 0.500
0.652 0.652 0.000
```

Total magnetization: 0.00 μB per atom
Energy of formation from the pure elements: 1.790 eV per formula unit

This record from Alexandria describes a relaxed structure of Pm3ZnNi. The functional is PBE.

Structure (POSCAR):
```
Pm3ZnNi
1.0
-5.289 2.530 -1.249
-4.372 -4.008 -0.870
-5.621 -0.401 6.685
Ni Pm Zn
2 6 2
direct
0.301 0.699 0.000
0.699 0.301 0.000
0.291 0.291 0.321
0.709 0.709 0.679
0.955 0.955 0.246
0.045 0.045 0.754
0.685 0.685 0.117
0.315 0.315 0.883
0.303 0.697 0.500
0.697 0.303 0.500
```

Total magnetization: 0.00 μB per atom
Energy of formation from the pure elements: -1.084 eV per formula unit

This record from Alexandria describes a relaxed structure of Zn2GaIO. The functional is PBE.

Structure (POSCAR):
```
Zn2GaIO
1.0
-2.928 3.904 -2.437
-5.055 -1.853 3.106
1.224 3.445 4.048
Zn Ga I O
2 1 1 1
direct
0.000 0.000 0.500
0.500 0.000 0.000
0.000 0.500 0.000
0.000 0.000 0.000
0.500 0.500 0.500
```

Total magnetization: 0.02 μB per atom
Raw formation energy: 24.01 kcal/mol of atoms

This record from Alexandria describes a relaxed structure of HfAlGa2. The functional is PBE.

Structure (POSCAR):
```
HfAlGa2
1.0
4.260 0.000 0.000
2.130 3.689 0.000
2.130 1.230 4.586
Hf Ga Al
1 2 1
direct
0.500 0.500 0.500
0.268 0.268 0.196
0.732 0.732 0.804
0.000 0.000 0.000
```

Total magnetization: 0.00 μB per atom
Energy of formation from the pure elements: -0.351 eV per formula unit

This record from Alexandria describes a relaxed structure of Cs2LiTlBi2. The functional is PBE.

Structure (POSCAR):
```
Cs2LiTlBi2
1.0
7.327 0.000 0.000
0.000 7.442 0.000
-3.663 -3.721 9.070
Tl Li Bi Cs
2 2 4 4
direct
0.500 0.750 0.000
0.500 0.250 0.000
0.000 0.250 0.000
0.000 0.750 0.000
0.154 0.906 0.812
0.846 0.094 0.188
0.341 0.594 0.188
0.659 0.406 0.812
0.420 0.168 0.336
0.083 0.332 0.664
0.580 0.832 0.664
0.917 0.668 0.336
```

Total magnetization: 0.00 μB per atom
Energy of formation from the pure elements: -2.091 eV per formula unit

This record from Alexandria describes a relaxed structure of LaTa2Cu. The functional is PBE.

Structure (POSCAR):
```
LaTa2Cu
1.0
4.880 0.000 0.000
0.000 4.880 0.000
2.440 2.440 9.129
Ta Cu La
4 2 2
direct
0.875 0.625 0.750
0.375 0.625 0.750
0.375 0.625 0.250
0.375 0.125 0.250
0.250 0.750 0.500
0.500 0.500 0.000
0.750 0.250 0.500
0.000 0.000 0.000
```

Total magnetization: 0.00 μB per atom
E above lowest polymorph: 728 meV/atom
Energy of formation from the pure elements: 3.925 eV per formula unit

This record from Alexandria describes a relaxed structure of Tc2BSbMo. The functional is PBE.

Structure (POSCAR):
```
Tc2BSbMo
1.0
-4.076 -1.985 -1.876
1.147 -3.596 1.314
-2.340 0.801 4.237
Tc Mo B Sb
2 1 1 1
direct
0.500 0.000 0.000
0.000 0.000 0.500
0.500 0.500 0.500
0.000 0.500 0.000
0.000 0.000 0.000
```

Total magnetization: 0.00 μB per atom
Raw formation energy: 56.15 kcal/mol of atoms

This record from Alexandria describes a relaxed structure of BaGaHg2Au. The functional is PBE.

Structure (POSCAR):
```
BaGaHg2Au
1.0
-1.187 2.492 -3.598
-4.690 -1.045 0.823
2.461 4.266 5.001
Hg Au Ga Ba
2 1 1 1
direct
0.701 0.201 0.402
0.052 0.052 0.105
0.821 0.821 0.642
0.199 0.699 0.399
0.438 0.438 0.877
```

Total magnetization: 0.00 μB per atom
E above lowest polymorph: 0 meV/atom
Energy of formation from the pure elements: -1.997 eV per formula unit

This record from Alexandria describes a relaxed structure of TlPRu. The functional is PBE.

Structure (POSCAR):
```
TlPRu
1.0
-0.786 -5.951 2.798
-4.607 -4.455 1.671
2.897 4.280 -4.141
Ru Tl P
1 1 1
direct
0.633 0.633 0.000
0.322 0.322 0.000
0.045 0.045 0.000
```

Total magnetization: 0.00 μB per atom
E above lowest polymorph: 334 meV/atom
Energy of formation from the pure elements: -0.036 eV per formula unit

This record from Alexandria describes a relaxed structure of La5Tb6Tm. The functional is PBE.

Structure (POSCAR):
```
La5Tb6Tm
1.0
6.245 -0.016 0.088
-0.015 6.769 2.777
0.043 0.007 9.635
La Tb Tm
5 6 1
direct
0.329 0.836 0.329
0.335 0.333 0.334
0.665 0.667 0.666
0.000 0.500 0.000
0.671 0.164 0.671
0.832 0.084 0.331
0.500 0.248 0.000
0.500 0.752 0.000
0.832 0.586 0.331
0.168 0.916 0.669
0.168 0.414 0.669
0.000 0.000 0.000
```

Total magnetization: 0.00 μB per atom
Energy of formation from the pure elements: 0.319 eV per formula unit

Q: total magnetization of number 8 (BaGaHg2Au)?
A: 0.00 μB per atom